(1)
! GdVFe2, optimized geometry, DFT PBE-GGA; values from VASP
&SYSTEM
  ibrav = 0, nat = 4, ntyp = 3
/
ATOMIC_SPECIES
Fe 55.84 Fe.upf
Gd 157.25 Gd.upf
V 50.94 V.upf
CELL_PARAMETERS angstrom
3.057 0.000 0.000
1.529 2.648 0.000
1.529 0.883 7.876
ATOMIC_POSITIONS crystal
Fe 0.737 0.737 0.789
Fe 0.263 0.263 0.211
Gd 0.500 0.500 0.500
V 0.000 0.000 0.000
! - VASP energy (eV/atom) = -9.574
! - formation enthalpy at 0 K (meV/atom) = 457
! - space group = R-3m
! - spin magnetization (μB per formula unit) = 4.8
! - DOS at the Fermi energy (states/eV/f.u.) = 4.90

---

(2)
! PdSO2F, optimized geometry, DFT PBE-GGA; values from VASP
&SYSTEM
  ibrav = 0, nat = 5, ntyp = 4
/
ATOMIC_SPECIES
Pd 106.42 Pd.upf
O 16.00 O.upf
F 19.00 F.upf
S 32.06 S.upf
CELL_PARAMETERS angstrom
3.447 0.000 0.000
0.000 3.447 0.000
0.000 0.000 6.004
ATOMIC_POSITIONS crystal
Pd 0.500 0.500 0.500
O 0.000 0.500 0.000
O 0.500 0.000 0.000
F 0.000 0.000 0.500
S 0.000 0.000 0.000
! - VASP energy (eV/atom) = -4.202
! - space group = P4/mmm
! - spin magnetization (μB per formula unit) = 1.1
! - formation energy without anion corrections (eV/f.u.) = 0.10
! - DOS at the Fermi energy (states/eV/f.u.) = 4.57